{
  "formula": "Nb2TcHAu",
  "functional": "GGA-PBE",
  "state": "relaxed",
  "polymorph_energy_mev_per_atom": 0,
  "sg": "No. 123",
  "magmom_total_mub_per_fu": 0.0,
  "lattice": [[4.150, 0.000, 0.000], [0.000, 4.150, 0.000], [0.000, 0.000, 4.030]],
  "species": ["Nb", "Nb", "H", "Tc", "Au"],
  "fractional_positions": [[0.500, 0.000, 0.000], [0.000, 0.500, 0.000], [0.000, 0.000, 0.000], [0.000, 0.000, 0.500], [0.500, 0.500, 0.500]]
}

---

{
  "formula": "NbTc2HAu",
  "functional": "GGA-PBE",
  "state": "relaxed",
  "sg": "No. 123",
  "magmom_total_mub_per_fu": 0.0,
  "lattice": [[-3.555, 0.411, -1.851], [-1.529, -2.946, 2.284], [-1.126, 2.729, 2.768]],
  "species": ["Tc", "Tc", "Au", "H", "Nb"],
  "fractional_positions": [[0.000, 0.500, 0.000], [0.500, 0.000, 0.000], [0.500, 0.500, 0.500], [0.000, 0.000, 0.000], [0.000, 0.000, 0.500]]
}

---

{
  "formula": "Ti2NbHAu",
  "functional": "GGA-PBE",
  "state": "relaxed",
  "sg": "No. 123",
  "magmom_total_mub_per_fu": 0.0,
  "lattice": [[-0.877, -3.899, 1.261], [-0.510, -1.176, -3.990], [3.879, -0.943, -0.218]],
  "species": ["Ti", "Ti", "Au", "H", "Nb"],
  "fractional_positions": [[0.000, 0.500, 0.000], [0.500, 0.000, 0.000], [0.500, 0.500, 0.500], [0.000, 0.000, 0.000], [0.000, 0.000, 0.500]]
}

---

How do the records compare in density of states at the Fermi level? In the order shown, they have 2.705, 3.533, 4.719 states/eV/cell.
How do the records compare in electronic total energy? In the order shown, they have -7.570, -7.523, -6.788 eV/atom.